No. 1
Here is KLiNiCl6 after structural relaxation from Alexandria. Energies are from PBE.

Unit cell a=6.3202 b=6.3202 c=6.9011 alpha=90.00 beta=90.00 gamma=59.99
Closest atoms and distances in Å follow each position.
Atoms (fractional coordinates):
Cl1 0.0340 0.3534 0.3108  1 Ni 2.25
Cl2 0.6125 0.3535 0.6892  1 Ni 2.25
Cl3 0.3534 0.6125 0.3108  1 Ni 2.25
Cl4 0.3534 0.0341 0.6892  1 Ni 2.25
Cl5 0.6126 0.0340 0.3108  1 Ni 2.25
Cl6 0.0339 0.6126 0.6892  1 Ni 2.25
Ni1 0.3333 0.3333 0.5000  6 Cl 2.25
K1 0.0000 0.0000 0.0000  6 Cl 3.18
Li1 0.6666 0.6666 0.5000  6 Cl 2.53

Values from the calculation:
The calculation puts the spin magnetization at 0.00 μB/cell. The uncorrected formation energy is -1.023 eV/atom. Its final energy is -3.231 eV per atom.

No. 2
Here is KLiNp2Cl8 after structural relaxation from Alexandria. Energies are from PBE.

Unit cell a=6.7621 b=6.6057 c=8.5286 alpha=89.26 beta=90.59 gamma=84.11
Closest atoms and distances in Å follow each position.
Atoms (fractional coordinates):
Cl1 0.1842 0.7816 0.7897  1 Li 2.57, 1 Np 2.70
Cl2 0.6527 0.6947 0.4994  2 Np 2.80
Cl3 0.3473 0.3053 0.5006  2 Np 2.80
Cl4 0.8175 0.2201 0.7816  1 Li 2.57, 1 Np 2.69
Cl5 0.3349 0.2965 0.0005  2 Np 2.76
Cl6 0.6651 0.7035 0.9995  2 Np 2.76
Cl7 0.8158 0.2184 0.2103  1 Li 2.57, 1 Np 2.70
Cl8 0.1825 0.7799 0.2184  1 Li 2.57, 1 Np 2.69
Np1 0.5005 0.4996 0.2417  6 Cl 2.69-2.80
Np2 0.4995 0.5004 0.7583  6 Cl 2.69-2.80
K1 0.0000 0.0000 0.5000  6 Cl 3.03-3.25
Li1 0.0000 0.0000 0.0000  4 Cl 2.57

Values from the calculation:
The calculation puts the spin magnetization at 8.00 μB/cell. The uncorrected formation energy is -1.751 eV/atom. As for the density of states at the Fermi level: 0.931 states/eV/atom. Its final energy is -5.390 eV per atom.

No. 3
Here is K3Li2NpCl9 after structural relaxation from Alexandria. Energies are from PBE.

Unit cell a=7.2965 b=7.2965 c=9.2957 alpha=90.00 beta=90.00 gamma=120.00
Closest atoms and distances in Å follow each position.
Atoms (fractional coordinates):
Np1 0.0000 0.0000 0.5000  6 Cl 2.60
Cl1 0.8337 0.6673 0.6655  1 Np 2.60, 1 Li 2.91
Cl2 0.5000 0.5000 0.0000  2 Li 2.38
Cl3 0.0000 0.5000 0.0000  2 Li 2.38
Cl4 0.8337 0.1663 0.6655  1 Np 2.60, 1 Li 2.91
Cl5 0.1663 0.8337 0.3345  1 Np 2.60, 1 Li 2.91
Cl6 0.5000 0.0000 0.0000  2 Li 2.38
Cl7 0.6673 0.8337 0.3345  1 Np 2.60, 1 Li 2.91
Cl8 0.1663 0.3327 0.3345  1 Np 2.60, 1 Li 2.91
Cl9 0.3327 0.1663 0.6655  1 Np 2.60, 1 Li 2.91
Li1 0.3333 0.6667 0.1192  3 Cl 2.38
Li2 0.6667 0.3333 0.8808  3 Cl 2.38
K1 0.0000 0.0000 0.0000  12 Cl 3.65-3.75
K2 0.3333 0.6667 0.7378  3 Cl 3.22, 1 Li 3.55
K3 0.6667 0.3333 0.2622  3 Cl 3.22, 1 Li 3.55

Values from the calculation:
The calculation puts the spin magnetization at 3.00 μB/cell. The uncorrected formation energy is -1.807 eV/atom. As for the density of states at the Fermi level: 0.402 states/eV/atom. Its final energy is -4.252 eV per atom.

No. 4
Here is KLiNpCl6 after structural relaxation from Alexandria. Energies are from PBE.

Unit cell a=6.8026 b=6.8026 c=13.9743 alpha=90.00 beta=90.00 gamma=120.00
Closest atoms and distances in Å follow each position.
Atoms (fractional coordinates):
K1 0.0000 0.0000 0.5000  6 Cl 3.21
K2 0.0000 0.0000 0.0000  6 Cl 3.21
Cl1 0.6324 0.9996 0.8563  1 Np 2.62, 1 Li 2.62
Cl2 0.9996 0.6324 0.3563  1 Np 2.62, 1 Li 2.62
Cl3 0.0004 0.6329 0.8563  1 Np 2.62, 1 Li 2.62
Cl4 0.3676 0.0004 0.1437  1 Np 2.62, 1 Li 2.62
Cl5 0.6329 0.0004 0.3563  1 Np 2.62, 1 Li 2.62
Cl6 0.9996 0.3671 0.1437  1 Np 2.62, 1 Li 2.62
Cl7 0.0004 0.3676 0.6437  1 Np 2.62, 1 Li 2.62
Cl8 0.6329 0.6324 0.1437  1 Np 2.62, 1 Li 2.62
Cl9 0.3676 0.3671 0.3563  1 Np 2.62, 1 Li 2.62
Cl10 0.3671 0.9996 0.6437  1 Np 2.62, 1 Li 2.62
Cl11 0.3671 0.3676 0.8563  1 Np 2.62, 1 Li 2.62
Cl12 0.6324 0.6329 0.6437  1 Np 2.62, 1 Li 2.62
Li1 0.3333 0.6667 0.2500  6 Cl 2.62
Li2 0.6667 0.3333 0.7500  6 Cl 2.62
Np1 0.3333 0.6667 0.7500  6 Cl 2.62
Np2 0.6667 0.3333 0.2500  6 Cl 2.62

Values from the calculation:
The calculation puts the spin magnetization at 6.00 μB/cell. The uncorrected formation energy is -1.787 eV/atom. As for the density of states at the Fermi level: 0.494 states/eV/atom. Its final energy is -4.791 eV per atom.

No. 5
Here is KLi2NpCl6 after structural relaxation from Alexandria. Energies are from PBE.

Unit cell a=6.9715 b=6.9712 c=7.3921 alpha=61.86 beta=61.87 gamma=60.00
Closest atoms and distances in Å follow each position.
Atoms (fractional coordinates):
Cl1 0.8932 0.6163 0.2341  2 Li 2.55-2.80, 1 Np 2.77
Cl2 0.6162 0.2565 0.2342  2 Li 2.55-2.81, 1 Np 2.77
Cl3 0.1763 0.3316 0.7518  1 Li 2.50, 1 Np 2.74
Cl4 0.3317 0.7403 0.7518  1 Li 2.50, 1 Np 2.74
Cl5 0.2566 0.8931 0.2342  2 Li 2.55-2.81, 1 Np 2.77
Cl6 0.7402 0.1764 0.7517  1 Li 2.50, 1 Np 2.74
Np1 0.3168 0.3168 0.0495  6 Cl 2.74-2.77
K1 0.7961 0.7960 0.6120  6 Cl 3.07-3.24
Li1 0.0128 0.0128 0.9612  3 Cl 2.50
Li2 0.5218 0.5218 0.4346  6 Cl 2.55-2.83

Values from the calculation:
The calculation puts the spin magnetization at 4.00 μB/cell. The uncorrected formation energy is -1.783 eV/atom. As for the density of states at the Fermi level: 0.305 states/eV/atom. Its final energy is -4.678 eV per atom.

No. 6
Here is KLi2ClO after structural relaxation from Alexandria. Energies are from PBE.

Unit cell a=4.0732 b=4.0732 c=5.4895 alpha=90.00 beta=90.00 gamma=90.00
Closest atoms and distances in Å follow each position.
Atoms (fractional coordinates):
Cl1 0.5000 0.5000 0.5000  4 K 2.88
Li1 0.5000 0.0000 0.0000  2 O 2.04
Li2 0.0000 0.5000 0.0000  2 O 2.04
K1 0.0000 0.0000 0.5000  2 O 2.74, 4 Cl 2.88
O1 0.0000 0.0000 0.0000  4 Li 2.04

Values from the calculation:
The calculation puts the spin magnetization at 0.00 μB/cell. The uncorrected formation energy is -1.573 eV/atom. As for the density of states at the Fermi level: 0.000 states/eV/atom. Its final energy is -3.919 eV per atom.

No. 7
Here is K2LiOsCl6 after structural relaxation from Alexandria. Energies are from PBE.

Unit cell a=6.9977 b=6.9977 c=12.4692 alpha=73.70 beta=73.70 gamma=60.00
Closest atoms and distances in Å follow each position.
Atoms (fractional coordinates):
Cl1 0.8010 0.2805 0.1175  1 Os 2.38, 1 Li 2.62
Cl2 0.6209 0.1406 0.6176  1 Os 2.39, 1 Li 2.49
Cl3 0.3791 0.3791 0.3824  1 Os 2.39, 1 Li 2.49
Cl4 0.1990 0.1990 0.8825  1 Os 2.38, 1 Li 2.62
Cl5 0.1990 0.7195 0.8825  1 Os 2.38, 1 Li 2.62
Cl6 0.8594 0.3791 0.3824  1 Os 2.39, 1 Li 2.49
Cl7 0.3791 0.8594 0.3824  1 Os 2.39, 1 Li 2.49
Cl8 0.2805 0.8010 0.1175  1 Os 2.38, 1 Li 2.62
Cl9 0.1406 0.6209 0.6176  1 Os 2.39, 1 Li 2.49
Cl10 0.6209 0.6209 0.6176  1 Os 2.39, 1 Li 2.49
Cl11 0.8010 0.8010 0.1175  1 Os 2.38, 1 Li 2.62
Cl12 0.7195 0.1990 0.8825  1 Os 2.38, 1 Li 2.62
Li1 0.4169 0.4169 0.7494  6 Cl 2.49-2.62
Li2 0.5831 0.5831 0.2506  6 Cl 2.49-2.62
Os1 0.5000 0.5000 0.5000  6 Cl 2.39
Os2 0.0000 0.0000 0.0000  6 Cl 2.38
K1 0.1258 0.1258 0.6225  12 Cl 3.50-3.63
K2 0.8742 0.8742 0.3775  12 Cl 3.50-3.63
K3 0.7020 0.7020 0.8940  9 Cl 3.37-3.50
K4 0.2980 0.2980 0.1060  9 Cl 3.37-3.50

Values from the calculation:
The calculation puts the spin magnetization at 2.03 μB/cell. The uncorrected formation energy is -1.248 eV/atom. As for the density of states at the Fermi level: 0.715 states/eV/atom. Its final energy is -3.890 eV per atom.

No. 8
Here is KLiOsCl6 after structural relaxation from Alexandria. Energies are from PBE.

Unit cell a=6.4701 b=6.4701 c=13.8639 alpha=90.00 beta=90.00 gamma=120.00
Closest atoms and distances in Å follow each position.
Atoms (fractional coordinates):
Cl1 0.0266 0.3799 0.6523  1 Os 2.35, 1 Li 2.58
Cl2 0.6468 0.0266 0.3477  1 Os 2.35, 1 Li 2.58
Cl3 0.9734 0.6201 0.3477  1 Os 2.35, 1 Li 2.58
Cl4 0.0266 0.6468 0.8477  1 Os 2.35, 1 Li 2.58
Cl5 0.3532 0.3799 0.8477  1 Os 2.35, 1 Li 2.58
Cl6 0.3799 0.3532 0.3477  1 Os 2.35, 1 Li 2.58
Cl7 0.9734 0.3532 0.1523  1 Os 2.35, 1 Li 2.58
Cl8 0.6201 0.6468 0.6523  1 Os 2.35, 1 Li 2.58
Cl9 0.3799 0.0266 0.1523  1 Os 2.35, 1 Li 2.58
Cl10 0.3532 0.9734 0.6523  1 Os 2.35, 1 Li 2.58
Cl11 0.6201 0.9734 0.8477  1 Os 2.35, 1 Li 2.58
Cl12 0.6468 0.6201 0.1523  1 Os 2.35, 1 Li 2.58
Os1 0.6667 0.3333 0.2500  6 Cl 2.35
Os2 0.3333 0.6667 0.7500  6 Cl 2.35
Li1 0.3333 0.6667 0.2500  6 Cl 2.58
Li2 0.6667 0.3333 0.7500  6 Cl 2.58
K1 0.0000 0.0000 0.0000  6 Cl 3.18
K2 0.0000 0.0000 0.5000  6 Cl 3.18

Values from the calculation:
The calculation puts the spin magnetization at 4.00 μB/cell. The uncorrected formation energy is -1.071 eV/atom. As for the density of states at the Fermi level: 0.789 states/eV/atom. Its final energy is -3.884 eV per atom.

No. 9
Here is KLi2OsCl8 after structural relaxation from Alexandria. Energies are from PBE.

Unit cell a=6.1127 b=7.0664 c=9.1826 alpha=63.01 beta=87.72 gamma=94.78
Closest atoms and distances in Å follow each position.
Atoms (fractional coordinates):
Cl1 0.8304 0.1797 0.1200  1 Os 2.30
Cl2 0.5484 0.7206 0.5442  2 Li 2.31
Cl3 0.8954 0.2378 0.7429  1 Os 2.35, 1 Li 2.57
Cl4 0.4516 0.2794 0.4558  2 Li 2.31
Cl5 0.6775 0.7731 0.0484  1 Os 2.33, 1 Li 2.47
Cl6 0.3225 0.2269 0.9516  1 Os 2.33, 1 Li 2.47
Cl7 0.1696 0.8203 0.8800  1 Os 2.30
Cl8 0.1046 0.7622 0.2571  1 Os 2.35, 1 Li 2.57
Li1 0.4919 0.6492 0.3259  4 Cl 2.31-2.57
Li2 0.5081 0.3508 0.6741  4 Cl 2.31-2.57
K1 0.0000 0.0000 0.5000  6 Cl 3.16-3.42
Os1 0.0000 0.0000 0.0000  6 Cl 2.30-2.35

Values from the calculation:
The calculation puts the spin magnetization at 3.04 μB/cell. The uncorrected formation energy is -1.110 eV/atom. Its final energy is -3.687 eV per atom.

No. 10
Here is KLiP2Cl after structural relaxation from Alexandria. Energies are from PBE.

Unit cell a=4.3245 b=4.3245 c=6.7907 alpha=90.00 beta=90.00 gamma=90.00
Closest atoms and distances in Å follow each position.
Atoms (fractional coordinates):
Cl1 0.0000 0.0000 0.5000  4 K 3.06, 2 Li 3.40
P1 0.0000 0.5000 0.0000  2 Li 2.16
P2 0.5000 0.0000 0.0000  2 Li 2.16
Li1 0.0000 0.0000 0.0000  4 P 2.16
K1 0.5000 0.5000 0.5000  4 Cl 3.06

Values from the calculation:
The calculation puts the spin magnetization at 0.48 μB/cell. The uncorrected formation energy is -0.048 eV/atom. As for the density of states at the Fermi level: 0.442 states/eV/atom. The relative energy among the computed polymorphs comes out at 0.00 eV per formula unit. Its final energy is -3.183 eV per atom.

> spin magnetization of number 3 (K3Li2NpCl9)?

3.00 μB/cell

> What is the uncorrected formation energy in the sixth record?

-1.573 eV/atom

> Look up the final energy of the fifth one.

-4.678 eV per atom